[1]
The following is a DFT calculation (PBE) of a relaxed structure of Re2PtBr.

```
4
Lattice="3.795 0.000 0.000 0.000 2.930 -0.002 0.000 0.004 6.516" Properties=species:S:1:pos:R:3 pbc="T T T"
Pt 1.897 2.201 4.885
Re 0.000 0.735 3.659
Br 1.897 0.734 1.628
Re 0.000 0.737 6.114
```

Calculated values
Crystal system: orthorhombic
Formation energy without anion corrections (eV per atom): 0.706
Electronic total energy (eV/atom): -7.4466
Energy above the lowest structure with this stoichiometry (meV/atom): 324


[2]
The following is a DFT calculation (PBE) of a relaxed structure of KBOs2.

```
8
Lattice="-4.457 1.157 -1.567 -1.882 -3.565 2.722 -3.920 3.439 6.139" Properties=species:S:1:pos:R:3 pbc="T T T"
B -4.486 -0.665 4.719
Os -2.964 0.868 1.260
Os -3.750 -0.954 2.676
B -3.169 -1.204 0.577
K 0.000 0.000 0.000
Os -5.755 0.848 5.671
K -5.773 1.696 2.575
Os -8.049 1.302 4.982
```

Calculated values
Crystal system: tetragonal
DFT formation energy (kJ/mol of formula units): 477
Electronic total energy (eV/atom): -6.3218


Please write out number 2 again, unchanged.
The following is a DFT calculation (PBE) of a relaxed structure of KBOs2.

```
8
Lattice="-4.457 1.157 -1.567 -1.882 -3.565 2.722 -3.920 3.439 6.139" Properties=species:S:1:pos:R:3 pbc="T T T"
B -4.486 -0.665 4.719
Os -2.964 0.868 1.260
Os -3.750 -0.954 2.676
B -3.169 -1.204 0.577
K 0.000 0.000 0.000
Os -5.755 0.848 5.671
K -5.773 1.696 2.575
Os -8.049 1.302 4.982
```

Calculated values
Crystal system: tetragonal
DFT formation energy (kJ/mol of formula units): 477
Electronic total energy (eV/atom): -6.3218


electronic total energy of number 1 (Re2PtBr)?
-7.4466 eV/atom


What is the formula in the second record?
KBOs2


What is the formula in the first record?
Re2PtBr